(1)
PBE AcPd2Au8, relaxed; density = 12.28 Mg/m³; energy of formation = -0.043 eV per atom; uncorrected energy = -3.7446 eV per atom; space group = No. 123
1.0
-0.910 3.116 4.563
-4.654 2.061 -2.335
-4.624 -6.474 3.499
Au Ac Pd
8 1 2
Cartesian
-7.329 -2.720 2.096 Au
-4.751 0.890 0.145 Au
-7.789 -1.145 4.402 Au
-5.210 2.465 2.451 Au
-2.859 1.423 3.631 Au
-4.977 -3.762 3.276 Au
-2.399 -0.152 1.325 Au
-5.437 -2.187 5.582 Au
-5.094 -0.648 2.864 Ac
-0.455 1.558 2.282 Pd
-2.327 1.031 -1.168 Pd

(2)
PBE RbSnSBr2, relaxed; density = 3.86 Mg/m³; uncorrected energy = -3.3777 eV per atom; space group = No. 123; formation energy from raw total energies = -0.889 eV/atom
1.0
-2.754 4.946 -1.425
-2.001 0.460 5.465
4.061 2.626 1.266
Br S Rb Sn
2 1 1 1
Cartesian
-1.377 2.473 -0.712 Br
-1.001 0.230 2.732 Br
2.030 1.313 0.633 S
-0.347 4.016 2.653 Rb
0.000 0.000 0.000 Sn